VASP calculation (PBE) on a geometry-optimized MgZrSi structure.

a = 4.374 Å, b = 4.374 Å, c = 3.327 Å
α = 90.00°, β = 90.00°, γ = 120.00°
Fractional coordinates of all 3 atoms:
Mg 0.000 0.000 0.000
Zr 0.333 0.667 0.498
Si 0.667 0.333 0.992

Electronic total energy   -16.3 eV/cell

***

VASP calculation (PBE) on a geometry-optimized LaCe3Pu2As6 structure.

a = 7.317 Å, b = 7.317 Å, c = 7.305 Å
α = 99.62°, β = 99.62°, γ = 119.99°
Fractional coordinates of all 12 atoms:
La 0.000 0.000 0.000
Ce 0.165 0.835 0.500
Ce 0.500 0.500 0.500
Ce 0.835 0.165 0.500
Pu 0.333 0.667 0.000
Pu 0.667 0.333 0.000
As 0.084 0.425 0.252
As 0.258 0.258 0.750
As 0.425 0.084 0.252
As 0.575 0.916 0.748
As 0.742 0.742 0.250
As 0.916 0.575 0.748

Formation enthalpy at 0 K   -1.3102 eV/atom

***

VASP calculation (PBE) on a geometry-optimized Na2PrPb structure.

a = 12.856 Å, b = 12.856 Å, c = 12.856 Å
α = 15.60°, β = 15.60°, γ = 15.60°
Fractional coordinates of all 4 atoms:
Na 0.092 0.092 0.092
Na 0.908 0.908 0.908
Pr 0.000 0.000 0.000
Pb 0.500 0.500 0.500

Formation enthalpy at 0 K   0.1149 eV/atom

***

VASP calculation (PBE) on a geometry-optimized LaIn2GeS structure.

a = 5.213 Å, b = 5.213 Å, c = 5.441 Å
α = 90.00°, β = 90.00°, γ = 90.00°
Fractional coordinates of all 5 atoms:
La 0.000 0.000 0.000
In 0.000 0.500 0.500
In 0.500 0.000 0.500
Ge 0.500 0.500 0.000
S 0.000 0.000 0.500

Electronic total energy   -20.0 eV/cell

***

VASP calculation (PBE) on a geometry-optimized NaCaSnSbO6 structure.

a = 5.676 Å, b = 5.676 Å, c = 5.676 Å
α = 60.00°, β = 60.00°, γ = 60.00°
Fractional coordinates of all 10 atoms:
Na 0.000 0.000 0.000
Ca 0.500 0.500 0.500
Sn 0.250 0.250 0.250
Sb 0.750 0.750 0.750
O 0.504 0.504 0.996
O 0.504 0.996 0.504
O 0.504 0.996 0.996
O 0.996 0.504 0.504
O 0.996 0.504 0.996
O 0.996 0.996 0.504

Electronic total energy   -59.1 eV/cell

***

VASP calculation (PBE) on a geometry-optimized Na2LiAuCl6 structure.

a = 7.052 Å, b = 7.052 Å, c = 7.052 Å
α = 60.00°, β = 60.00°, γ = 60.00°
Fractional coordinates of all 10 atoms:
Na 0.250 0.250 0.250
Na 0.750 0.750 0.750
Li 0.000 0.000 0.000
Au 0.500 0.500 0.500
Cl 0.250 0.250 0.750
Cl 0.250 0.750 0.250
Cl 0.250 0.750 0.750
Cl 0.750 0.250 0.250
Cl 0.750 0.250 0.750
Cl 0.750 0.750 0.250

Electronic total energy   -28.8 eV/cell

***

Q: Number 1 is which compound?
A: MgZrSi